The following is a GGA-PBEsol calculation of a relaxed structure of RbAg2Se2, from Alexandria via LeMat-Bulk.

Unit cell a=4.3350 b=4.3350 c=7.2180 alpha=107.48 beta=107.48 gamma=90.00
Fractional positions:
Se 0.3686 0.3686 0.7371
Se 0.6314 0.6314 0.2629
Rb 0.0000 0.0000 0.0000
Ag 0.2500 0.7500 0.5000
Ag 0.7500 0.2500 0.5000

Uncorrected formation energy in eV per atom: -0.431
Size of the total moment in μB per formula unit: 0.00
Space group: No. 139